PBE PmRh2Pb2, relaxed; formation enthalpy at 0 K = -189 kJ/mol of formula units; energy relative to the lowest polymorph listed for this composition = 0.000 eV per atom; M_tot = 0.0 μB per cell; symmetry = No. 59
1.0
4.6071 0.0000 0.0000
0.0000 4.8173 0.0000
0.0000 0.0000 10.4288
Pm Rh Pb
2 4 4
direct
0.2500 0.2500 0.1788 Pm
0.7500 0.7500 0.8212 Pm
0.2500 0.7500 0.3292 Rh
0.2500 0.7500 0.9987 Rh
0.7500 0.2500 0.0013 Rh
0.7500 0.2500 0.6708 Rh
0.2500 0.2500 0.5021 Pb
0.2500 0.2500 0.8323 Pb
0.7500 0.7500 0.1677 Pb
0.7500 0.7500 0.4979 Pb